(1)
YTlSb2 | PBE | relaxed

The structure belongs to space group Cmm2 (No. 35); the cell edges are 4.505, 5.312 and 9.541 Å and the angles 90.00°, 90.00° and 90.00°. The distinct sites, in fractional coordinates, are Y at (0.000, 0.000, 0.000), Tl at (0.000, 0.500, 0.750), Sb at (0.000, 0.000, 0.517) and Sb at (0.000, 0.500, 0.219).

Its size of the total moment is 0.00 μB/atom. The total energy is -4.393 eV/atom. The calculation puts the distance to the lowest polymorph of the same formula at 0.371 eV/atom. Its volume is 228.32 Å³/cell. The uncorrected formation energy comes out at -124 meV/atom.

***

(2)
NdThAgGe | PBE | relaxed

The structure belongs to space group F-43m (No. 216); the cell edges are 7.418, 7.418 and 7.418 Å and the angles 90.00°, 90.00° and 90.00°. The distinct sites, in fractional coordinates, are Nd at (0.000, 0.000, 0.000), Th at (0.000, 0.000, 0.500), Ag at (0.250, 0.250, 0.250) and Ge at (0.250, 0.250, 0.750).

The calculation puts the formation energy at -0.381 eV/atom. Its size of the total moment is 0.00 μB/atom. The total energy is -5.295 eV/atom. Its volume is 408.14 Å³/cell.

***

(3)
Tb2PmY2Tm | PBE | relaxed

The structure belongs to space group Pmma (No. 51); the cell edges are 6.983, 5.651 and 9.738 Å and the angles 90.00°, 90.00° and 90.00°. The distinct sites, in fractional coordinates, are Tb at (0.250, 0.000, 0.166), Tb at (0.250, 0.500, 0.668), Pm at (0.000, 0.000, 0.500), Y at (0.000, 0.500, 0.000), Y at (0.250, 0.000, 0.835) and Tm at (0.250, 0.500, 0.332).

The calculation puts the formation energy at 0.068 eV/atom. Its size of the total moment is 0.00 μB/atom. The total energy is -5.167 eV/atom. Its volume is 384.30 Å³/cell.

***

(4)
CsNd2Co | PBE | relaxed

The structure belongs to space group R-3m (No. 166, hexagonal axes); the cell edges are 4.0922, 4.0922 and 33.0535 Å and the angles 90.00°, 90.00° and 120.00°. The distinct sites, in fractional coordinates, are Cs at (0.0000, 0.0000, 0.0000), Nd at (0.0000, 0.0000, 0.1234) and Co at (0.0000, 0.0000, 0.5000).

The calculation puts the formation energy at 0.151 eV/atom. Its size of the total moment is 0.00 μB/atom. The total energy is -4.223 eV/atom. Its volume is 479.36 Å³/cell.

***

(5)
MnCuAu3 | PBE | relaxed

The structure belongs to space group P-1 (No. 2); the cell edges are 4.743, 4.746 and 7.757 Å and the angles 86.40°, 72.33° and 78.88°. The distinct sites, in fractional coordinates, are Mn at (0.152, 0.250, 0.195), Cu at (0.349, 0.250, 0.802), Au at (0.055, 0.750, 0.388), Au at (0.250, 0.751, 0.000) and Au at (0.443, 0.750, 0.613).

The calculation puts the formation energy at -0.050 eV/atom. Its size of the total moment is 0.83 μB/atom. The total energy is -4.670 eV/atom. The calculation puts the distance to the lowest polymorph of the same formula at 0.000 eV/atom. Its volume is 163.25 Å³/cell.

***

(6)
Hf3Zr4Ti2 | PBE | relaxed

The structure belongs to space group P2_1/c (No. 14); the cell edges are 7.668, 9.410 and 5.402 Å and the angles 90.00°, 90.35° and 90.00°. The distinct sites, in fractional coordinates, are Hf at (0.000, 0.000, 0.000), Hf at (0.338, 0.164, 0.168), Zr at (0.006, 0.162, 0.499), Zr at (0.336, 0.662, 0.671) and Ti at (0.339, 0.005, 0.665).

The calculation puts the formation energy at 0.080 eV/atom. Its size of the total moment is 0.00 μB/atom. The total energy is -8.791 eV/atom. Its volume is 389.74 Å³/cell.

***

(7)
Y2ErPd9 | PBE | relaxed

The structure belongs to space group P4/mmm (No. 123); the cell edges are 4.125, 4.125 and 12.371 Å and the angles 90.00°, 90.00° and 90.00°. The distinct sites, in fractional coordinates, are Y at (0.000, 0.000, 0.168), Er at (0.000, 0.000, 0.500), Pd at (0.000, 0.500, 0.000), Pd at (0.000, 0.500, 0.336), Pd at (0.500, 0.500, 0.167) and Pd at (0.500, 0.500, 0.500).

The calculation puts the formation energy at -0.860 eV/atom. Its size of the total moment is 0.00 μB/atom. The total energy is -6.212 eV/atom. Its volume is 210.45 Å³/cell.

***

(8)
AgBiPd | PBE | relaxed

The structure belongs to space group Fddd (No. 70, origin choice 2); the cell edges are 6.371, 11.988 and 14.565 Å and the angles 90.00°, 90.00° and 90.00°. The distinct sites, in fractional coordinates, are Ag at (0.125, 0.125, 0.031), Bi at (0.000, 0.000, 0.500) and Pd at (0.125, 0.335, 0.125).

The calculation puts the formation energy at 0.094 eV/atom. Its size of the total moment is 0.00 μB/atom. The total energy is -3.881 eV/atom. The calculation puts the distance to the lowest polymorph of the same formula at 0.196 eV/atom. Its volume is 1112.35 Å³/cell.